Entry 1:
The following is a PBE-GGA calculation of a relaxed Ca3TiTe crystal, from Alexandria.

Formation energy (no corrections) (meV/atom): 437
Energy relative to the lowest polymorph listed for this composition (meV/atom): 307
SG: No. 221
Total magnetic moment (μB per formula unit): 5.69

Cell lengths 5.7709, 5.7709, 5.7709 Å; angles 90.00, 90.00, 90.00 degrees
Last column: magnetic moment on the atom in μB.
Fractional coordinates of all 5 atoms:
Ca: 0.0000 0.5000 0.0000  0.26
Ca: 0.0000 0.0000 0.5000  0.26
Ca: 0.5000 0.0000 0.0000  0.23
Te: 0.5000 0.5000 0.5000  0.08
Ti: 0.0000 0.0000 0.0000  2.39

Entry 2:
The following is a PBE-GGA calculation of a relaxed AlCl crystal, from Alexandria.

Formation energy (no corrections) (meV/atom): -50
SG: No. 194
Total magnetic moment (μB per formula unit): 0.00

Cell lengths 5.4562, 5.4562, 7.6879 Å; angles 90.00, 90.00, 120.00 degrees
Fractional coordinates of all 8 atoms:
Al: 0.3333 0.6667 0.0705
Al: 0.6667 0.3333 0.5705
Al: 0.6667 0.3333 0.9295
Al: 0.3333 0.6667 0.4295
Cl: 0.0000 0.0000 0.2500
Cl: 0.0000 0.0000 0.7500
Cl: 0.3333 0.6667 0.7500
Cl: 0.6667 0.3333 0.2500

What did the second record say?
The following is a PBE-GGA calculation of a relaxed AlCl crystal, from Alexandria.

Formation energy (no corrections) (meV/atom): -50
SG: No. 194
Total magnetic moment (μB per formula unit): 0.00

Cell lengths 5.4562, 5.4562, 7.6879 Å; angles 90.00, 90.00, 120.00 degrees
Fractional coordinates of all 8 atoms:
Al: 0.3333 0.6667 0.0705
Al: 0.6667 0.3333 0.5705
Al: 0.6667 0.3333 0.9295
Al: 0.3333 0.6667 0.4295
Cl: 0.0000 0.0000 0.2500
Cl: 0.0000 0.0000 0.7500
Cl: 0.3333 0.6667 0.7500
Cl: 0.6667 0.3333 0.2500